Record 1
Compound: Nd2SmDy3Bi6
Source: Alexandria via LeMat-Bulk
Functional: PBE
Structure: optimized geometry

Values from the calculation:
Magnetization   0.000 Bohr magnetons per cell
Formation energy   -0.899 eV per atom
SG   No. 12
D(E_F)   0.168 states/eV per atom

```
12
Lattice="9.877 -2.268 0.000 9.877 2.268 0.000 -2.063 0.000 8.827" Properties=species:S:1:pos:R:3 pbc="T T T"
Nd 2.598 0.000 2.940
Nd 15.094 0.000 5.888
Sm 9.877 0.000 0.000
Dy 1.582 0.000 7.358
Dy 8.846 0.000 4.414
Dy 16.110 0.000 1.470
Bi -1.497 0.000 6.598
Bi 4.662 0.000 8.140
Bi 5.772 0.000 3.634
Bi 11.919 0.000 5.193
Bi 13.030 0.000 0.687
Bi 19.188 0.000 2.229
```

---

Record 2
Compound: BC2
Source: Alexandria via LeMat-Bulk
Functional: PBE
Structure: optimized geometry

Values from the calculation:
Magnetization   0.000 Bohr magnetons per cell
Formation energy   0.302 eV per atom
SG   No. 8
D(E_F)   0.121 states/eV per atom

```
12
Lattice="5.942 -1.263 0.000 5.942 1.263 0.000 -1.118 0.000 5.109" Properties=species:S:1:pos:R:3 pbc="T T T"
B 0.000 0.000 0.000
B -0.411 0.000 2.551
B 4.250 0.000 2.270
B 8.208 0.000 3.134
C 0.790 0.000 1.453
C 0.222 0.000 4.062
C 3.687 0.000 0.769
C 3.208 0.000 3.469
C 3.707 0.000 4.834
C 6.949 0.000 4.303
C 7.572 0.000 1.620
C 8.759 0.000 0.582
```

---

Record 3
Compound: K2NbH6
Source: Alexandria via LeMat-Bulk
Functional: PBE
Structure: optimized geometry

Values from the calculation:
Magnetization   1.000 Bohr magnetons per cell
SG   No. 225
Final energy   -3.4269 eV/atom
D(E_F)   0.868 states/eV per atom

```
9
Lattice="0.000 4.271 4.271 4.271 0.000 4.271 4.271 4.271 0.000" Properties=species:S:1:pos:R:3 pbc="T T T"
K 2.135 2.135 2.135
K 6.406 6.406 6.406
Nb 0.000 0.000 0.000
H 4.271 4.271 1.904
H 4.271 1.904 4.271
H 6.637 4.271 4.271
H 1.904 4.271 4.271
H 4.271 6.637 4.271
H 4.271 4.271 6.637
```

---

Record 4
Compound: Rb2MgHg2
Source: Alexandria via LeMat-Bulk
Functional: PBE
Structure: optimized geometry

Values from the calculation:
Magnetization   0.000 Bohr magnetons per cell
Formation energy   -0.156 eV per atom
SG   No. 12
D(E_F)   0.488 states/eV per atom

```
10
Lattice="6.902 -2.578 0.000 6.902 2.578 0.000 -6.434 0.000 11.220" Properties=species:S:1:pos:R:3 pbc="T T T"
Rb -0.900 0.000 1.897
Rb -1.246 0.000 6.770
Rb 8.615 0.000 4.450
Rb 8.270 0.000 9.323
Mg 3.088 0.000 1.386
Mg 4.282 0.000 9.835
Hg -1.369 0.000 10.438
Hg 4.321 0.000 4.183
Hg 3.049 0.000 7.037
Hg 8.738 0.000 0.783
```

---

Record 5
Compound: NpReGe
Source: Alexandria via LeMat-Bulk
Functional: PBE
Structure: optimized geometry

Values from the calculation:
Magnetization   2.640 Bohr magnetons per cell
Formation energy   0.093 eV per atom
SG   No. 187
D(E_F)   1.328 states/eV per atom

```
3
Lattice="4.414 0.000 0.000 -2.207 3.822 0.000 0.000 0.000 3.368" Properties=species:S:1:pos:R:3 pbc="T T T"
Np 0.000 0.000 0.000
Re 2.207 1.274 1.684
Ge 0.000 2.548 1.684
```

---

Record 6
Compound: Ba2LaTlO5
Source: Alexandria via LeMat-Bulk
Functional: PBE
Structure: optimized geometry

Values from the calculation:
Magnetization   0.000 Bohr magnetons per cell
SG   No. 36
Final energy   -6.2699 eV/atom

```
18
Lattice="1.866 -7.709 0.000 1.866 7.709 0.000 0.000 0.000 11.658" Properties=species:S:1:pos:R:3 pbc="T T T"
Ba 1.866 5.948 5.829
Ba 1.866 5.635 0.978
Ba 1.866 -5.635 6.807
Ba 1.866 -5.948 0.000
La 1.866 4.353 9.366
La 1.866 -4.353 3.537
Tl 1.866 0.224 3.133
Tl 1.866 -0.224 8.962
O 1.866 6.855 9.978
O 1.866 3.339 5.136
O 1.866 3.012 2.014
O 1.866 1.995 9.403
O 1.866 0.055 6.822
O 1.866 -0.055 0.993
O 1.866 -1.995 3.574
O 1.866 -3.012 7.843
O 1.866 -3.339 10.965
O 1.866 -6.855 4.149
```

---

Record 7
Compound: Sc2ReGeI
Source: Alexandria via LeMat-Bulk
Functional: PBE
Structure: optimized geometry

Values from the calculation:
Magnetization   0.002 Bohr magnetons per cell
SG   No. 123
Final energy   -5.7692 eV/atom
D(E_F)   1.325 states/eV per atom

```
5
Lattice="5.178 0.000 0.000 0.000 5.178 0.000 0.000 0.000 4.623" Properties=species:S:1:pos:R:3 pbc="T T T"
Sc 0.000 2.589 0.000
Sc 2.589 0.000 0.000
Re 0.000 0.000 2.311
Ge 0.000 0.000 0.000
I 2.589 2.589 2.311
```

---

Record 8
Compound: Li7CdRh3
Source: Alexandria via LeMat-Bulk
Functional: PBE
Structure: optimized geometry

Values from the calculation:
Magnetization   0.002 Bohr magnetons per cell
Formation energy   -0.088 eV per atom
SG   No. 15
D(E_F)   0.569 states/eV per atom

```
22
Lattice="1.353 -13.198 0.000 1.353 13.198 0.000 -0.622 0.000 9.623" Properties=species:S:1:pos:R:3 pbc="T T T"
Li 0.500 8.992 8.524
Li 0.887 11.118 7.217
Li 0.573 4.285 6.063
Li 0.224 0.066 5.949
Li 0.535 -0.066 1.138
Li 1.274 8.992 5.910
Li 1.200 4.285 8.371
Li 0.884 -4.285 1.252
Li 0.811 -8.992 3.713
Li 1.549 0.066 8.485
Li 1.860 -0.066 3.673
Li 1.511 -4.285 3.559
Li 1.198 -11.118 2.406
Li 1.585 -8.992 1.098
Cd 1.198 6.522 2.406
Cd 0.887 -6.522 7.217
Rh 1.198 10.985 2.406
Rh 1.007 2.181 4.828
Rh 0.766 2.181 9.606
Rh 1.318 -2.181 0.017
Rh 1.077 -2.181 4.795
Rh 0.887 -10.985 7.217
```

---

Record 9
Compound: KInSb4
Source: Alexandria via LeMat-Bulk
Functional: PBE
Structure: optimized geometry

Values from the calculation:
Magnetization   0.000 Bohr magnetons per cell
SG   No. 216
Final energy   -3.4749 eV/atom
D(E_F)   0.098 states/eV per atom

```
6
Lattice="0.000 4.560 4.560 4.560 0.000 4.560 4.560 4.560 0.000" Properties=species:S:1:pos:R:3 pbc="T T T"
K 0.000 0.000 0.000
In 2.280 2.280 2.280
Sb 5.687 3.434 3.434
Sb 3.434 5.687 3.434
Sb 3.434 3.434 5.687
Sb 5.687 5.687 5.687
```

---

Record 10
Compound: Nb2AlNi2
Source: Alexandria via LeMat-Bulk
Functional: PBE
Structure: optimized geometry

Values from the calculation:
Magnetization   0.000 Bohr magnetons per cell
Formation energy   -0.281 eV per atom
SG   No. 127
D(E_F)   0.579 states/eV per atom

```
10
Lattice="6.665 0.000 0.000 0.000 6.665 0.000 0.000 0.000 3.355" Properties=species:S:1:pos:R:3 pbc="T T T"
Nb 1.164 2.168 0.000
Nb 2.168 5.500 0.000
Nb 4.497 1.164 0.000
Nb 5.500 4.497 0.000
Al 0.000 0.000 1.678
Al 3.332 3.332 1.678
Ni 0.848 4.180 1.678
Ni 2.484 0.848 1.678
Ni 4.180 5.817 1.678
Ni 5.817 2.484 1.678
```

---

Record 11
Compound: Ac8Tb2Ho3
Source: Alexandria via LeMat-Bulk
Functional: PBE
Structure: optimized geometry

Values from the calculation:
Magnetization   0.000 Bohr magnetons per cell
Formation energy   0.228 eV per atom
SG   No. 65
D(E_F)   1.287 states/eV per atom

```
13
Lattice="4.243 -10.350 0.000 4.243 10.350 0.000 0.000 0.000 6.106" Properties=species:S:1:pos:R:3 pbc="T T T"
Ac 4.243 7.725 0.000
Ac 2.497 2.177 3.053
Ac 4.243 3.632 0.000
Ac 2.497 -2.177 3.053
Ac 5.989 2.177 3.053
Ac 4.243 -3.632 0.000
Ac 5.989 -2.177 3.053
Ac 4.243 -7.725 0.000
Tb 4.243 5.427 3.053
Tb 4.243 -5.427 3.053
Ho 0.000 0.000 3.053
Ho 2.524 0.000 0.000
Ho 5.963 0.000 0.000
```

---

Record 12
Compound: CaSnB
Source: Alexandria via LeMat-Bulk
Functional: PBE
Structure: optimized geometry

Values from the calculation:
Magnetization   0.000 Bohr magnetons per cell
Formation energy   -0.141 eV per atom
SG   No. 38
D(E_F)   0.336 states/eV per atom

```
6
Lattice="4.640 0.000 0.000 0.000 1.627 8.838 0.000 -1.627 8.838" Properties=species:S:1:pos:R:3 pbc="T T T"
Ca 0.000 0.000 0.000
Ca 2.320 0.000 5.270
Sn 0.000 0.000 12.461
Sn 2.320 0.000 10.617
B 2.320 0.000 7.892
B 2.320 0.000 16.322
```